(1)
VASP calculation (PBE-GGA) on NpCdAs after structural relaxation.

Cell and atoms, written as extended XYZ:
```
3
Lattice="0.000 3.358 3.358 3.358 0.000 3.358 3.358 3.358 0.000" Properties=species:S:1:pos:R:3 pbc="T T T"
Cd 1.679 1.679 1.679
Np 5.036 5.036 5.036
As 0.000 0.000 0.000
```

Properties
total magnetic moment	5.09	μB per cell
uncorrected energy	-6.105	eV/atom


(2)
VASP calculation (PBE-GGA) on CdAsO3 after structural relaxation.

Cell and atoms, written as extended XYZ:
```
10
Lattice="-2.696 4.670 0.000 2.696 4.670 0.000 0.000 3.113 -5.203" Properties=species:S:1:pos:R:3 pbc="T T T"
As 0.000 9.340 -2.011
As 0.000 3.113 -3.192
Cd 0.000 6.227 -4.920
Cd 0.000 6.227 -0.283
O 1.072 7.932 -3.906
O -2.013 6.302 -3.906
O -1.072 4.521 -1.297
O 2.013 6.151 -1.297
O 0.941 4.445 -3.906
O -0.941 8.008 -1.297
```

Properties
uncorrected energy	-5.077	eV/atom


(3)
VASP calculation (PBE-GGA) on Cd2As2O5 after structural relaxation.

Cell and atoms, written as extended XYZ:
```
9
Lattice="9.646 0.000 0.000 0.000 3.478 0.000 0.000 0.000 3.478" Properties=species:S:1:pos:R:3 pbc="T T T"
As 0.000 0.000 0.000
As 4.823 0.000 0.000
Cd 2.574 1.739 1.739
Cd 7.072 1.739 1.739
O 8.488 0.000 1.739
O 4.823 1.739 1.739
O 1.158 1.739 0.000
O 8.488 1.739 0.000
O 1.158 0.000 1.739
```

Properties
energy relative to the lowest polymorph listed for this composition	479	meV/atom


(4)
VASP calculation (PBE-GGA) on CdAsO3 after structural relaxation.

Cell and atoms, written as extended XYZ:
```
20
Lattice="5.378 0.000 0.000 0.000 5.520 0.000 0.000 0.000 7.722" Properties=species:S:1:pos:R:3 pbc="T T T"
As 2.689 0.000 0.000
As 0.000 2.760 0.000
As 0.000 2.760 3.861
As 2.689 0.000 3.861
O 1.093 1.145 4.273
O 0.546 2.544 1.930
O 2.143 5.304 1.930
O 1.093 1.145 7.310
O 3.782 1.615 3.449
O 3.235 0.216 5.791
O 4.285 4.375 0.412
O 4.285 4.375 3.449
O 1.596 3.905 4.273
O 4.832 2.976 5.791
O 3.782 1.615 0.412
O 1.596 3.905 7.310
Cd 0.067 5.280 5.791
Cd 5.311 0.240 1.930
Cd 2.622 2.520 5.791
Cd 2.756 3.000 1.930
```

Properties
uncorrected energy	-5.053	eV/atom


(5)
VASP calculation (PBE-GGA) on CdAsO3 after structural relaxation.

Cell and atoms, written as extended XYZ:
```
10
Lattice="2.710 -1.564 -4.478 -2.710 -1.564 -4.478 0.000 3.129 -4.478" Properties=species:S:1:pos:R:3 pbc="T T T"
O -1.106 1.214 -7.836
O 1.604 0.350 -7.836
O -0.499 -1.564 -7.836
O 0.499 1.564 -5.597
O -1.604 -0.350 -5.597
O 1.106 -1.214 -5.597
Cd 0.000 0.000 -10.074
Cd 0.000 0.000 -3.358
As 0.000 0.000 -6.716
As 0.000 0.000 0.000
```

Properties
uncorrected energy	-5.034	eV/atom


(6)
VASP calculation (PBE-GGA) on Cd2As2O5 after structural relaxation.

Cell and atoms, written as extended XYZ:
```
9
Lattice="-4.790 4.624 0.531 -1.162 -0.764 -3.825 -2.587 -2.835 1.353" Properties=species:S:1:pos:R:3 pbc="T T T"
Cd 0.000 0.000 0.000
Cd -2.395 2.312 0.266
O -1.677 0.676 -1.791
O -4.988 2.149 1.086
O -4.275 3.184 -1.503
O -4.270 0.512 -0.970
O -2.390 -0.359 0.798
As -5.582 1.779 -0.825
As -2.958 -0.754 -1.116
```

Properties
energy relative to the lowest polymorph listed for this composition	0	meV/atom


(7)
VASP calculation (PBE-GGA) on CdAsO3 after structural relaxation.

Cell and atoms, written as extended XYZ:
```
5
Lattice="3.765 0.000 0.000 0.000 3.765 0.000 0.000 0.000 4.359" Properties=species:S:1:pos:R:3 pbc="T T T"
Cd 0.000 0.000 4.240
O 1.883 0.000 2.753
O 1.883 1.883 0.575
O 0.000 1.883 2.753
As 1.883 1.883 2.319
```

Properties
uncorrected energy	-4.979	eV/atom


(8)
VASP calculation (PBE-GGA) on Cd2AsO4 after structural relaxation.

Cell and atoms, written as extended XYZ:
```
14
Lattice="4.546 -4.546 0.000 -4.546 0.000 -4.546 4.546 4.546 0.000" Properties=species:S:1:pos:R:3 pbc="T T T"
O 1.034 1.035 -1.035
O 1.239 -1.239 -3.308
O -1.239 1.239 -3.308
O 5.785 1.239 -1.239
O 3.307 -1.239 -1.239
O 1.034 3.512 -3.512
O 3.512 3.512 -1.035
O 3.512 1.035 -3.512
Cd -1.137 -1.137 -3.410
Cd 1.137 1.137 -3.410
Cd 5.683 -1.137 -1.137
Cd 3.410 1.137 -1.137
As 2.273 -2.273 -2.273
As 0.000 0.000 0.000
```

Properties
uncorrected energy	-4.795	eV/atom


(9)
VASP calculation (PBE-GGA) on CdAsOsO after structural relaxation.

Cell and atoms, written as extended XYZ:
```
8
Lattice="-1.000 -1.201 -3.692 3.835 -0.896 -0.747 -1.254 -7.756 2.862" Properties=species:S:1:pos:R:3 pbc="T T T"
As -1.352 -5.870 0.099
As 1.515 -2.934 0.544
O 1.418 -1.048 -2.219
O 0.000 0.000 0.000
Cd -0.638 -1.457 -1.530
Cd 0.802 -7.348 2.173
Os -0.627 -3.878 1.431
Os 0.791 -4.926 -0.788
```

Properties
total magnetic moment	0.22	μB per cell
energy relative to the lowest polymorph listed for this composition	67	meV/atom


(10)
VASP calculation (PBE-GGA) on CdAsOsO after structural relaxation.

Cell and atoms, written as extended XYZ:
```
8
Lattice="-0.852 -2.541 -2.410 3.481 -0.887 -0.295 -1.057 -6.583 7.315" Properties=species:S:1:pos:R:3 pbc="T T T"
Os 0.817 -6.194 6.242
Os -0.560 -2.103 -0.280
Cd -0.529 -3.292 3.657
Cd 0.786 -5.006 2.305
As 1.491 -1.995 1.576
As -1.234 -6.302 4.386
O 1.315 -1.714 -1.353
O 0.000 0.000 0.000
```

Properties
total magnetic moment	0.05	μB per cell
energy relative to the lowest polymorph listed for this composition	686	meV/atom


(11)
VASP calculation (PBE-GGA) on CdAsOsO after structural relaxation.

Cell and atoms, written as extended XYZ:
```
8
Lattice="5.601 0.000 0.000 0.000 3.563 0.000 -0.008 0.000 6.845" Properties=species:S:1:pos:R:3 pbc="T T T"
Cd 3.693 0.000 3.948
Cd 0.894 0.000 2.897
Os 4.761 1.782 0.111
Os 1.952 1.782 6.734
As 0.672 0.000 5.638
As 3.480 0.000 1.207
O 0.641 1.782 1.520
O 3.434 1.782 5.326
```

Properties
total magnetic moment	0.02	μB per cell
energy relative to the lowest polymorph listed for this composition	0	meV/atom


(12)
VASP calculation (PBE-GGA) on CdAsOsO after structural relaxation.

Cell and atoms, written as extended XYZ:
```
8
Lattice="-2.527 -2.523 -1.203 -0.436 -2.432 5.847 -4.723 4.085 1.352" Properties=species:S:1:pos:R:3 pbc="T T T"
O -5.049 0.443 3.681
O -2.480 -0.376 0.086
As -2.065 -0.137 4.493
As -3.053 2.122 1.913
Cd -2.149 -1.797 2.252
Cd -5.749 -0.085 6.142
Os -3.692 1.638 4.221
Os -1.308 0.979 0.679
```

Properties
total magnetic moment	0.02	μB per cell
energy relative to the lowest polymorph listed for this composition	234	meV/atom


(13)
VASP calculation (PBE-GGA) on CdAsOsO after structural relaxation.

Cell and atoms, written as extended XYZ:
```
8
Lattice="4.036 0.000 0.000 0.000 4.036 0.000 0.000 0.000 8.210" Properties=species:S:1:pos:R:3 pbc="T T T"
Os 3.027 1.009 4.105
Os 1.009 3.027 4.105
O 1.009 3.027 0.000
O 3.027 1.009 0.000
Cd 3.027 3.027 7.292
Cd 1.009 1.009 0.919
As 3.027 3.027 2.627
As 1.009 1.009 5.583
```

Properties
total magnetic moment	0.42	μB per cell
energy relative to the lowest polymorph listed for this composition	67	meV/atom


(14)
VASP calculation (PBE-GGA) on CdAsPO after structural relaxation.

Cell and atoms, written as extended XYZ:
```
8
Lattice="-0.570 -4.325 0.659 2.504 0.222 3.626 -6.499 1.525 4.394" Properties=species:S:1:pos:R:3 pbc="T T T"
As -2.283 -1.289 4.339
As -3.250 0.763 2.197
P -2.920 1.090 4.633
P -2.612 -1.616 1.902
Cd 0.998 0.171 1.985
Cd -6.530 -0.697 4.551
O 0.967 -2.052 2.142
O 0.000 0.000 0.000
```

Properties
energy relative to the lowest polymorph listed for this composition	298	meV/atom


(15)
VASP calculation (PBE-GGA) on CdAsPO after structural relaxation.

Cell and atoms, written as extended XYZ:
```
8
Lattice="3.928 0.000 0.000 0.000 3.928 0.000 0.000 0.000 8.571" Properties=species:S:1:pos:R:3 pbc="T T T"
P 0.000 1.964 6.095
P 1.964 0.000 2.477
O 0.000 0.000 0.000
O 1.964 1.964 0.000
Cd 0.000 0.000 4.286
Cd 1.964 1.964 4.286
As 0.000 1.964 0.979
As 1.964 0.000 7.592
```

Properties
energy relative to the lowest polymorph listed for this composition	476	meV/atom


(16)
VASP calculation (PBE-GGA) on CdAsPO after structural relaxation.

Cell and atoms, written as extended XYZ:
```
8
Lattice="4.467 0.000 0.000 0.000 4.467 0.000 0.000 0.000 8.305" Properties=species:S:1:pos:R:3 pbc="T T T"
P 1.117 1.117 5.198
P 3.350 3.350 3.107
Cd 1.117 1.117 7.963
Cd 3.350 3.350 0.341
O 3.350 1.117 0.000
O 1.117 3.350 0.000
As 1.117 3.350 4.152
As 3.350 1.117 4.152
```

Properties
energy relative to the lowest polymorph listed for this composition	258	meV/atom


(17)
VASP calculation (PBE-GGA) on CdAsPO after structural relaxation.

Cell and atoms, written as extended XYZ:
```
8
Lattice="-0.278 -1.950 2.912 -4.140 -4.506 -3.412 5.176 -3.404 -1.785" Properties=species:S:1:pos:R:3 pbc="T T T"
Cd -0.172 -4.714 -3.172
Cd -1.371 -1.500 -1.135
O 2.986 -4.848 -0.839
O -1.659 -5.385 -1.642
As -3.433 -5.055 -1.590
As 2.170 -3.475 0.003
P 1.765 -6.154 -3.952
P 0.756 -2.732 -1.757
```

Properties
energy relative to the lowest polymorph listed for this composition	0	meV/atom


(18)
VASP calculation (PBE-GGA) on Cd2AsPO7 after structural relaxation.

Cell and atoms, written as extended XYZ:
```
11
Lattice="-5.215 1.065 -1.720 1.214 -5.106 -1.933 -1.194 -1.395 4.378" Properties=species:S:1:pos:R:3 pbc="T T T"
O -3.118 -5.124 1.351
O -4.084 -4.193 -1.773
O -2.522 -2.600 -0.805
O -2.637 -0.648 1.003
O -1.794 -1.986 3.414
O -0.506 -2.694 0.932
O -4.945 -3.370 1.412
Cd -4.773 -1.123 1.269
Cd -0.885 -4.854 1.140
P -3.068 -3.121 -2.198
As -1.458 -1.524 0.152
```

Properties
uncorrected energy	-5.779	eV/atom


(19)
VASP calculation (PBE-GGA) on CdAsPO after structural relaxation.

Cell and atoms, written as extended XYZ:
```
8
Lattice="4.326 0.000 0.000 0.000 5.826 0.000 0.000 0.000 5.670" Properties=species:S:1:pos:R:3 pbc="T T T"
P 0.000 2.001 2.052
P 0.000 3.825 4.888
Cd 2.163 1.054 2.938
Cd 2.163 4.771 0.103
As 0.000 4.299 2.573
As 0.000 1.526 5.408
O 2.163 1.172 5.217
O 2.163 4.654 2.382
```

Properties
energy relative to the lowest polymorph listed for this composition	90	meV/atom


(20)
VASP calculation (PBE-GGA) on PaCdAsO after structural relaxation.

Cell and atoms, written as extended XYZ:
```
8
Lattice="5.993 0.000 0.000 0.000 5.993 0.000 0.000 0.000 4.856" Properties=species:S:1:pos:R:3 pbc="T T T"
As 4.495 4.495 2.396
As 1.498 1.498 2.460
Cd 1.498 1.498 0.031
Cd 4.495 4.495 4.825
O 4.495 1.498 0.000
O 1.498 4.495 0.000
Pa 1.498 4.495 2.428
Pa 4.495 1.498 2.428
```

Properties
total magnetic moment	3.08	μB per cell
energy relative to the lowest polymorph listed for this composition	492	meV/atom


no.,ρ (Mg/m³)
1,9.31
2,5.97
3,6.47
4,6.82
5,6.86
6,6.82
7,6.32
8,6.43
9,9.73
10,10.17
11,9.57
12,8.55
13,9.77
14,5.00
15,5.89
16,4.70
17,4.90
18,5.22
19,5.45
20,8.27